DFT (PBE-GGA) results for a geometry-optimized SrCuOs2 structure.

a b c (Å): 4.3073 4.3073 9.8714
angles (deg): 77.40 77.40 90.00
Element x y z (fractional)
Sr  0.0000  0.0000  0.0000
Sr  0.7500  0.2500  0.5000
Os  0.2550  0.1250  0.2500
Os  0.4950  0.6250  0.2500
Os  0.3750  0.7450  0.7500
Os  0.8750  0.5050  0.7500
Cu  0.5000  0.5000  0.0000
Cu  0.2500  0.7500  0.5000

Output
Space group: I-42d
N(E_F) in states/eV/f.u.: 4.899
DFT total energy in eV/atom: -6.243
Formation energy in eV/atom: 0.82
ΔE to the lowest computed polymorph in meV/atom: 660